KWOF2: relaxed, PBE+U.

abc: 4.3275 4.3275 4.2302
angles: 90.00 90.00 90.00
Last column: nearest neighbours and their distance in Å.
Space group P4/mmm (No. 123)
Inequivalent atoms, fractional coordinates:
K1 0.0000 0.0000 0.0000 x1  8 F 3.03, 4 O 3.06
W1 0.5000 0.5000 0.5000 x1  2 O 2.12, 4 F 2.16
O1 0.5000 0.5000 0.0000 x1  2 W 2.12
F1 0.0000 0.5000 0.5000 x2  2 W 2.16

Raw total energy   -5.547 eV/atom
N(E_F)   0.00 states/eV per cell
E above lowest polymorph   0 meV per atom